No. 1
The following is a DFT calculation (PBE) of crystalline ThZrIn2 at its relaxed geometry.

Geometry as CIF:
```
data_ThZrIn2
_chemical_formula_sum 'Th2 Zr2 In4'
_cell_length_a 4.8121
_cell_length_b 6.4227
_cell_length_c 7.3318
_cell_angle_alpha 90.00
_cell_angle_beta 90.00
_cell_angle_gamma 110.78
_space_group_name_H-M_alt 'P 1'
_space_group_IT_number 1
loop_
_space_group_symop_operation_xyz
'x,y,z'
loop_
_atom_site_label
_atom_site_type_symbol
_atom_site_fract_x
_atom_site_fract_y
_atom_site_fract_z
In1 In 0.3904 0.7586 0.0505
In2 In 0.3904 0.7586 0.4495
In3 In 0.6096 0.2414 0.9495
In4 In 0.6096 0.2414 0.5505
Th1 Th 0.9394 0.8628 0.7500
Zr1 Zr 0.8074 0.5800 0.2500
Zr2 Zr 0.1926 0.4200 0.7500
Th2 Th 0.0606 0.1372 0.2500
```

Computed properties:
* space group: P2_1/m (11)
* formation energy from the elements: -0.2223 eV/atom
* magnetic moment: 0.00 μB per formula unit

No. 2
The following is a DFT calculation (PBE) of crystalline Th3Zr3In5 at its relaxed geometry.

Geometry as CIF:
```
data_Th3Zr3In5
_chemical_formula_sum 'Th3 Zr3 In5'
_cell_length_a 5.0550
_cell_length_b 10.7607
_cell_length_c 7.5143
_cell_angle_alpha 127.06
_cell_angle_beta 74.25
_cell_angle_gamma 85.65
_space_group_name_H-M_alt 'P 1'
_space_group_IT_number 1
loop_
_space_group_symop_operation_xyz
'x,y,z'
loop_
_atom_site_label
_atom_site_type_symbol
_atom_site_fract_x
_atom_site_fract_y
_atom_site_fract_z
Th1 Th 0.1825 0.1072 0.6911
In1 In 0.6838 0.2791 0.5756
In2 In 0.8782 0.9275 0.3011
In3 In 0.0570 0.8786 0.8643
Zr1 Zr 0.5298 0.7830 0.9878
Zr2 Zr 0.3483 0.1377 0.2284
Zr3 Zr 0.6495 0.8654 0.6435
In4 In 0.3174 0.6865 0.3195
Th2 Th 0.0052 0.5174 0.9241
Th3 Th 0.8372 0.4947 0.4229
In5 In 0.5111 0.3229 0.0418
```

Computed properties:
* space group: P1 (1)
* formation energy from the elements: -0.0982 eV/atom
* magnetic moment: 0.00 μB per formula unit

No. 3
The following is a DFT calculation (PBE) of crystalline Th4ZrIn5 at its relaxed geometry.

Geometry as CIF:
```
data_Th4ZrIn5
_chemical_formula_sum 'Th4 Zr1 In5'
_cell_length_a 3.4609
_cell_length_b 3.4609
_cell_length_c 22.7118
_cell_angle_alpha 90.00
_cell_angle_beta 90.00
_cell_angle_gamma 90.00
_space_group_name_H-M_alt 'P 1'
_space_group_IT_number 1
loop_
_space_group_symop_operation_xyz
'x,y,z'
loop_
_atom_site_label
_atom_site_type_symbol
_atom_site_fract_x
_atom_site_fract_y
_atom_site_fract_z
In1 In 0.5000 0.5000 0.5000
Th1 Th 0.0000 0.0000 0.8107
Th2 Th 0.0000 0.0000 0.6039
Zr1 Zr 0.0000 0.0000 0.0000
Th3 Th 0.0000 0.0000 0.3961
Th4 Th 0.0000 0.0000 0.1893
In2 In 0.5000 0.5000 0.9137
In3 In 0.5000 0.5000 0.7071
In4 In 0.5000 0.5000 0.0863
In5 In 0.5000 0.5000 0.2929
```

Computed properties:
* space group: P4/mmm (123)
* formation energy from the elements: -0.2725 eV/atom
* magnetic moment: 0.00 μB per formula unit

No. 4
The following is a DFT calculation (PBE) of crystalline ThZrIn2 at its relaxed geometry.

Geometry as CIF:
```
data_ThZrIn2
_chemical_formula_sum 'Th1 Zr1 In2'
_cell_length_a 3.3346
_cell_length_b 3.3346
_cell_length_c 10.9170
_cell_angle_alpha 81.22
_cell_angle_beta 81.22
_cell_angle_gamma 60.00
_space_group_name_H-M_alt 'P 1'
_space_group_IT_number 1
loop_
_space_group_symop_operation_xyz
'x,y,z'
loop_
_atom_site_label
_atom_site_type_symbol
_atom_site_fract_x
_atom_site_fract_y
_atom_site_fract_z
In1 In 0.7445 0.7445 0.7664
Th1 Th 0.5000 0.5000 0.5000
In2 In 0.2555 0.2555 0.2336
Zr1 Zr 0.0000 0.0000 0.0000
```

Computed properties:
* space group: R-3m (166)
* formation energy from the elements: -0.1410 eV/atom
* magnetic moment: 0.00 μB per formula unit

No. 5
The following is a DFT calculation (PBE) of crystalline Th2ZrIn at its relaxed geometry.

Geometry as CIF:
```
data_Th2ZrIn
_chemical_formula_sum 'Th4 Zr2 In2'
_cell_length_a 4.7308
_cell_length_b 4.7737
_cell_length_c 10.8374
_cell_angle_alpha 90.00
_cell_angle_beta 115.87
_cell_angle_gamma 90.00
_space_group_name_H-M_alt 'P 1'
_space_group_IT_number 1
loop_
_space_group_symop_operation_xyz
'x,y,z'
loop_
_atom_site_label
_atom_site_type_symbol
_atom_site_fract_x
_atom_site_fract_y
_atom_site_fract_z
Zr1 Zr 0.1094 0.2500 0.6091
Th1 Th 0.1375 0.7500 0.1379
In1 In 0.6083 0.7500 0.6081
Th2 Th 0.3552 0.7500 0.8549
Th3 Th 0.6448 0.2500 0.1451
In2 In 0.3917 0.2500 0.3919
Zr2 Zr 0.8906 0.7500 0.3909
Th4 Th 0.8625 0.2500 0.8621
```

Computed properties:
* space group: Pmma (51)
* formation energy from the elements: -0.0617 eV/atom
* magnetic moment: 0.00 μB per formula unit

No. 6
The following is a DFT calculation (PBE) of crystalline Th2ZrIn at its relaxed geometry.

Geometry as CIF:
```
data_Th2ZrIn
_chemical_formula_sum 'Th2 Zr1 In1'
_cell_length_a 4.8947
_cell_length_b 4.7495
_cell_length_c 4.7495
_cell_angle_alpha 90.00
_cell_angle_beta 90.00
_cell_angle_gamma 90.00
_space_group_name_H-M_alt 'P 1'
_space_group_IT_number 1
loop_
_space_group_symop_operation_xyz
'x,y,z'
loop_
_atom_site_label
_atom_site_type_symbol
_atom_site_fract_x
_atom_site_fract_y
_atom_site_fract_z
Zr1 Zr 0.5000 0.5000 0.5000
Th1 Th 0.0000 0.5000 0.0000
In1 In 0.5000 0.0000 0.0000
Th2 Th 0.0000 0.0000 0.5000
```

Computed properties:
* space group: P4/mmm (123)
* formation energy from the elements: -0.1400 eV/atom
* magnetic moment: 0.00 μB per formula unit

No. 7
The following is a DFT calculation (PBE) of crystalline Th12ZrIn3 at its relaxed geometry.

Geometry as CIF:
```
data_Th12ZrIn3
_chemical_formula_sum 'Th12 Zr1 In3'
_cell_length_a 4.9259
_cell_length_b 4.9259
_cell_length_c 20.0654
_cell_angle_alpha 90.00
_cell_angle_beta 90.00
_cell_angle_gamma 90.00
_space_group_name_H-M_alt 'P 1'
_space_group_IT_number 1
loop_
_space_group_symop_operation_xyz
'x,y,z'
loop_
_atom_site_label
_atom_site_type_symbol
_atom_site_fract_x
_atom_site_fract_y
_atom_site_fract_z
In1 In 0.0000 0.0000 0.7482
Th1 Th 0.0000 0.5000 0.6244
In2 In 0.0000 0.0000 0.5000
Th2 Th 0.5000 0.0000 0.8746
Th3 Th 0.5000 0.0000 0.6244
Th4 Th 0.5000 0.0000 0.3756
Zr1 Zr 0.0000 0.0000 0.0000
Th5 Th 0.5000 0.5000 0.7498
Th6 Th 0.5000 0.5000 0.2502
Th7 Th 0.0000 0.5000 0.8746
Th8 Th 0.5000 0.5000 0.5000
Th9 Th 0.0000 0.5000 0.3756
In3 In 0.0000 0.0000 0.2518
Th10 Th 0.5000 0.0000 0.1254
Th11 Th 0.0000 0.5000 0.1254
Th12 Th 0.5000 0.5000 0.0000
```

Computed properties:
* space group: P4/mmm (123)
* formation energy from the elements: -0.0755 eV/atom
* magnetic moment: 0.00 μB per formula unit

No. 8
The following is a DFT calculation (PBE) of crystalline Th2ZrIn at its relaxed geometry.

Geometry as CIF:
```
data_Th2ZrIn
_chemical_formula_sum 'Th2 Zr1 In1'
_cell_length_a 3.3761
_cell_length_b 3.3761
_cell_length_c 12.3388
_cell_angle_alpha 82.14
_cell_angle_beta 82.14
_cell_angle_gamma 60.00
_space_group_name_H-M_alt 'P 1'
_space_group_IT_number 1
loop_
_space_group_symop_operation_xyz
'x,y,z'
loop_
_atom_site_label
_atom_site_type_symbol
_atom_site_fract_x
_atom_site_fract_y
_atom_site_fract_z
Th1 Th 0.0911 0.0911 0.7266
In1 In 0.0000 0.0000 0.0000
Th2 Th 0.9089 0.9089 0.2734
Zr1 Zr 0.5000 0.5000 0.5000
```

Computed properties:
* space group: R-3m (166)
* formation energy from the elements: 0.2324 eV/atom
* magnetic moment: 0.00 μB per formula unit